Entry 1:
A relaxed structure of ScV4Tc, computed with PBE.

Unit cell a=5.0254 b=5.0254 c=5.0254 alpha=60.00 beta=60.00 gamma=60.00
Closest atoms and distances in Å follow each position.
Fractional positions:
Sc  0.2500  0.2500  0.2500  12 V 2.95, 4 Tc 3.08
Tc  0.0000  0.0000  0.0000  12 V 2.95, 4 Sc 3.08
V  0.6246  0.6246  0.1262  6 V 2.50-2.52
V  0.6246  0.1262  0.6246  6 V 2.50-2.52
V  0.6246  0.6246  0.6246  6 V 2.50-2.52
V  0.1262  0.6246  0.6246  6 V 2.50-2.52

Values from the calculation:
- VASP energy (eV per atom) = -8.84
- formation energy from the elements (eV/atom) = 0.02
- SG = F-43m
- ρ (g cm⁻³) = 6.4



Entry 2:
A relaxed structure of Sc2VTc, computed with PBE.

Unit cell a=4.6751 b=4.6751 c=4.6751 alpha=60.00 beta=60.00 gamma=60.00
Closest atoms and distances in Å follow each position.
Fractional positions:
Sc  0.2500  0.2500  0.2500  4 Tc 2.86, 4 V 2.86
Sc  0.7500  0.7500  0.7500  4 Tc 2.86, 4 V 2.86
Tc  0.5000  0.5000  0.5000  8 Sc 2.86
V  0.0000  0.0000  0.0000  8 Sc 2.86

Values from the calculation:
- VASP energy (eV per atom) = -7.97
- formation energy from the elements (eV/atom) = 0.06
- SG = Fm-3m
- energy above the lowest structure with this stoichiometry (eV/atom) = 0.000
- ρ (g cm⁻³) = 5.5



Entry 3:
A relaxed structure of ScV4Tc2, computed with PBE.

Unit cell a=4.3982 b=4.3982 c=6.9307 alpha=71.50 beta=71.50 gamma=90.00
Closest atoms and distances in Å follow each position.
Fractional positions:
Sc  0.0000  0.0000  0.0000  4 V 2.20
Tc  0.3746  0.3746  0.2508  1 V 2.16
Tc  0.6254  0.6254  0.7492  1 V 2.16
V  0.1998  0.1998  0.6004  1 Tc 2.16
V  0.8002  0.8002  0.3996  1 Tc 2.16
V  0.0000  0.5000  0.0000  2 Sc 2.20
V  0.5000  0.0000  0.0000  2 Sc 2.20

Values from the calculation:
- VASP energy (eV per atom) = -7.89
- formation energy from the elements (eV/atom) = 1.18
- SG = I4/mmm
- ρ (g cm⁻³) = 6.2



Entry 4:
A relaxed structure of ScVTc2, computed with PBE.

Unit cell a=6.9748 b=6.9748 c=5.6421 alpha=51.82 beta=51.82 gamma=90.00
Closest atoms and distances in Å follow each position.
Fractional positions:
Sc  0.5000  0.5000  0.0000  2 V 2.74, 4 Tc 2.75
Sc  0.2500  0.7500  0.5000  2 V 2.74, 4 Tc 2.75
Tc  0.6627  0.1250  0.2500  2 V 2.39
Tc  0.0873  0.6250  0.2500  2 V 2.39
Tc  0.3750  0.3373  0.7500  2 V 2.39
Tc  0.8750  0.9127  0.7500  2 V 2.39
V  0.0000  0.0000  0.0000  4 Tc 2.39
V  0.7500  0.2500  0.5000  4 Tc 2.39

Values from the calculation:
- VASP energy (eV per atom) = -8.72
- formation energy from the elements (eV/atom) = 0.32
- SG = I-42d
- ρ (g cm⁻³) = 7.3



Entry 5:
A relaxed structure of ScVTcW, computed with PBE.

Unit cell a=4.4847 b=4.4847 c=4.4847 alpha=60.00 beta=60.00 gamma=60.00
Closest atoms and distances in Å follow each position.
Fractional positions:
Sc  0.0000  0.0000  0.0000  4 V 2.75, 4 Tc 2.75
Tc  0.2500  0.2500  0.2500  4 Sc 2.75, 4 W 2.75
W  0.5000  0.5000  0.5000  4 Tc 2.75, 4 V 2.75
V  0.7500  0.7500  0.7500  4 W 2.75, 4 Sc 2.75

Values from the calculation:
- VASP energy (eV per atom) = -9.71
- formation energy from the elements (eV/atom) = -0.01
- SG = F-43m
- ρ (g cm⁻³) = 9.8



Entry 6:
A relaxed structure of ScVZnTc, computed with PBE.

Unit cell a=4.4572 b=4.4572 c=4.4572 alpha=60.00 beta=60.00 gamma=60.00
Closest atoms and distances in Å follow each position.
Fractional positions:
Sc  0.7500  0.7500  0.7500  4 Zn 2.73, 4 Tc 2.73
Zn  0.0000  0.0000  0.0000  4 V 2.73, 4 Sc 2.73
Tc  0.5000  0.5000  0.5000  4 Sc 2.73, 4 V 2.73
V  0.2500  0.2500  0.2500  4 Tc 2.73, 4 Zn 2.73

Values from the calculation:
- VASP energy (eV per atom) = -6.92
- formation energy from the elements (eV/atom) = -0.15
- SG = F-43m
- ρ (g cm⁻³) = 6.9



Entry 7:
A relaxed structure of Sc2TcW, computed with PBE.

Unit cell a=2.9791 b=4.4085 c=5.4863 alpha=90.00 beta=90.00 gamma=90.00
Closest atoms and distances in Å follow each position.
Fractional positions:
Sc  0.0000  0.0000  0.9885  1 Tc 2.53
Sc  0.5000  0.5000  0.2574  1 W 2.57
Tc  0.0000  0.0000  0.5277  1 Sc 2.53
W  0.5000  0.5000  0.7263  1 Sc 2.57, 4 Tc 2.87

Values from the calculation:
- VASP energy (eV per atom) = -8.75
- formation energy from the elements (eV/atom) = 0.24
- SG = Pmm2
- energy above the lowest structure with this stoichiometry (eV/atom) = 0.341
- ρ (g cm⁻³) = 8.6



Entry 8:
A relaxed structure of ScTcW, computed with PBE.

Unit cell a=5.3129 b=5.3129 c=5.3129 alpha=91.01 beta=119.29 gamma=119.55
Closest atoms and distances in Å follow each position.
Fractional positions:
Sc  0.2500  0.1230  0.8730  6 Tc 3.08-3.15, 6 W 3.11-3.13, 4 Sc 3.25-3.28
Sc  0.7500  0.8770  0.1270  6 Tc 3.08-3.15, 6 W 3.11-3.13, 4 Sc 3.25-3.28
Tc  0.0000  0.5000  0.5000  4 W 2.66, 2 Tc 2.67
Tc  0.5000  0.0000  0.5000  4 W 2.66, 2 Tc 2.67
W  0.5000  0.5000  0.5000  4 Tc 2.66, 2 W 2.69
W  0.0000  0.5000  0.0000  4 Tc 2.66, 2 W 2.69

Values from the calculation:
- VASP energy (eV per atom) = -10.05
- formation energy from the elements (eV/atom) = -0.16
- SG = Imma
- energy above the lowest structure with this stoichiometry (eV/atom) = 0.004
- ρ (g cm⁻³) = 10.1



The lowest ρ belongs to which entry?
Sc2VTc



What is the ρ in the third record?
6.2 g cm⁻³



What did the fifth record say?
A relaxed structure of ScVTcW, computed with PBE.

Unit cell a=4.4847 b=4.4847 c=4.4847 alpha=60.00 beta=60.00 gamma=60.00
Closest atoms and distances in Å follow each position.
Fractional positions:
Sc  0.0000  0.0000  0.0000  4 V 2.75, 4 Tc 2.75
Tc  0.2500  0.2500  0.2500  4 Sc 2.75, 4 W 2.75
W  0.5000  0.5000  0.5000  4 Tc 2.75, 4 V 2.75
V  0.7500  0.7500  0.7500  4 W 2.75, 4 Sc 2.75

Values from the calculation:
- VASP energy (eV per atom) = -9.71
- formation energy from the elements (eV/atom) = -0.01
- SG = F-43m
- ρ (g cm⁻³) = 9.8



Please write out number 7 again, unchanged.
A relaxed structure of Sc2TcW, computed with PBE.

Unit cell a=2.9791 b=4.4085 c=5.4863 alpha=90.00 beta=90.00 gamma=90.00
Closest atoms and distances in Å follow each position.
Fractional positions:
Sc  0.0000  0.0000  0.9885  1 Tc 2.53
Sc  0.5000  0.5000  0.2574  1 W 2.57
Tc  0.0000  0.0000  0.5277  1 Sc 2.53
W  0.5000  0.5000  0.7263  1 Sc 2.57, 4 Tc 2.87

Values from the calculation:
- VASP energy (eV per atom) = -8.75
- formation energy from the elements (eV/atom) = 0.24
- SG = Pmm2
- energy above the lowest structure with this stoichiometry (eV/atom) = 0.341
- ρ (g cm⁻³) = 8.6